Density functional theory data (GGA-PBE) for an optimized crystal structure of Ho3HfIn3Se8.

Geometry as POSCAR:
```
Ho3HfIn3Se8
1.0
-6.301 0.018 5.090
-0.693 -3.459 -7.291
4.962 -4.482 6.157
Ho Hf In Se
3 1 3 8
Cartesian
-0.669 -2.232 5.623 Ho
-1.016 -3.962 1.978 Ho
2.135 -3.971 -0.567 Ho
2.481 -2.241 3.078 Hf
0.000 0.000 0.000 In
-0.346 -1.730 -3.646 In
-3.497 -1.721 -1.100 In
-0.580 -3.128 -0.708 Se
-1.451 -4.795 4.664 Se
-3.779 -3.223 1.777 Se
1.748 -4.701 2.178 Se
-3.415 -1.406 5.607 Se
1.384 -6.517 -1.651 Se
-0.106 -1.416 2.933 Se
-1.925 -6.508 1.022 Se
```

Results
The density of states at the Fermi level is 0.08 states/eV/f.u. The magnetization is 0.0 μB/cell. The value obtained for the total energy is -79.438 eV for the cell shown. The calculation puts the theoretical density at 6.19 g cm⁻³.